No. 1
A geometry-optimized CsZn8P6 structure, computed with PBE-GGA.

The value obtained for the energy relative to the elements is -107 meV per atom. Its size of the total moment is 0.000 μB per atom.

Lattice parameters (Å, degrees): 6.9082 6.9082 27.3622 90.00 90.00 120.00
Space group R-3 (No. 148, hexagonal axes)
Unique sites:
Cs: 0.0000 0.0000 0.0000
Zn: 0.0000 0.0000 0.4185
Zn: 0.0009 0.3314 0.8640
P: 0.0015 0.3312 0.7711

=====

No. 2
A geometry-optimized Cs2Zn2P structure, computed with PBE-GGA.

The value obtained for the energy relative to the lowest polymorph listed for this composition is 0.000 eV/f.u. The value obtained for the energy relative to the elements is 125 meV per atom. Its size of the total moment is 0.000 μB per atom.

Lattice parameters (Å, degrees): 7.112 7.112 5.855 90.00 90.00 90.00
Space group P4/mbm (No. 127)
Unique sites:
Cs: 0.189 0.311 0.000
Zn: 0.131 0.631 0.500
P: 0.000 0.000 0.500

=====

No. 3
A geometry-optimized CsZnP3 structure, computed with PBE-GGA.

The value obtained for the energy relative to the lowest polymorph listed for this composition is 0.000 eV/f.u. The value obtained for the energy relative to the elements is 643 meV per atom. Its size of the total moment is 0.000 μB per atom.

Lattice parameters (Å, degrees): 4.943 4.943 4.943 90.00 90.00 90.00
Space group Pm-3m (No. 221)
Unique sites:
Cs: 0.000 0.000 0.000
Zn: 0.500 0.500 0.500
P: 0.000 0.500 0.500

=====

No. 4
A geometry-optimized CsZn4P3 structure, computed with PBE-GGA.

The value obtained for the energy relative to the elements is -304 meV per atom. Its size of the total moment is 0.000 μB per atom.

Lattice parameters (Å, degrees): 4.101 4.101 10.461 90.00 90.00 90.00
Space group P4/mmm (No. 123)
Unique sites:
Cs: 0.000 0.000 0.000
Zn: 0.000 0.500 0.349
P: 0.000 0.000 0.500
P: 0.500 0.500 0.226